(1)
Entry from Alexandria: a relaxed CaTb2Ir9 crystal (PBE).

Unit cell a=9.2837 b=9.2837 c=9.2837 alpha=33.37 beta=33.37 gamma=33.37
Element x y z (fractional)
Ca (0.0000, 0.0000, 0.0000)
Tb (0.1382, 0.1382, 0.1382)
Tb (0.8618, 0.8618, 0.8618)
Ir (0.0832, 0.5814, 0.5814)
Ir (0.3326, 0.3326, 0.3326)
Ir (0.4186, 0.4186, 0.9168)
Ir (0.4186, 0.9168, 0.4186)
Ir (0.5000, 0.5000, 0.5000)
Ir (0.5814, 0.0832, 0.5814)
Ir (0.5814, 0.5814, 0.0832)
Ir (0.6674, 0.6674, 0.6674)
Ir (0.9168, 0.4186, 0.4186)

SG: R-3m, No. 166
E_tot in eV/atom: -8.067

(2)
Entry from Alexandria: a relaxed Li2SiAg6 crystal (PBE).

Unit cell a=6.5725 b=5.6404 c=9.1798 alpha=90.00 beta=105.00 gamma=90.00
Element x y z (fractional)
Li (0.1034, 0.0370, 0.2460)
Li (0.1034, 0.4630, 0.7460)
Li (0.8966, 0.5370, 0.2540)
Li (0.8966, 0.9630, 0.7540)
Si (0.5000, 0.0000, 0.5000)
Si (0.5000, 0.5000, 0.0000)
Ag (0.1581, 0.6659, 0.0396)
Ag (0.1581, 0.8341, 0.5396)
Ag (0.2437, 0.1408, 0.9921)
Ag (0.2437, 0.3592, 0.4921)
Ag (0.4711, 0.1338, 0.7682)
Ag (0.4711, 0.3662, 0.2682)
Ag (0.5289, 0.6338, 0.7318)
Ag (0.5289, 0.8662, 0.2318)
Ag (0.7563, 0.6408, 0.5079)
Ag (0.7563, 0.8592, 0.0079)
Ag (0.8419, 0.1659, 0.4604)
Ag (0.8419, 0.3341, 0.9604)

Energy relative to the lowest polymorph listed for this composition in meV/atom: 0
SG: P2_1/c, No. 14
Formation energy without anion corrections in eV/atom: 0.02

(3)
Entry from Alexandria: a relaxed Ho2TiAu6 crystal (PBE).

Unit cell a=8.6045 b=8.6045 c=5.1327 alpha=98.48 beta=98.48 gamma=77.26
Element x y z (fractional)
Ho (0.0426, 0.2865, 0.0771)
Ho (0.2865, 0.0426, 0.5771)
Ho (0.7135, 0.9574, 0.4229)
Ho (0.9574, 0.7135, 0.9229)
Ti (0.3809, 0.6191, 0.7500)
Ti (0.6191, 0.3809, 0.2500)
Au (0.0876, 0.7908, 0.4809)
Au (0.1586, 0.4146, 0.6392)
Au (0.2092, 0.9124, 0.0191)
Au (0.2799, 0.5083, 0.1862)
Au (0.4146, 0.1586, 0.1392)
Au (0.4917, 0.7201, 0.3138)
Au (0.5083, 0.2799, 0.6862)
Au (0.5854, 0.8414, 0.8608)
Au (0.7201, 0.4917, 0.8138)
Au (0.7908, 0.0876, 0.9809)
Au (0.8414, 0.5854, 0.3608)
Au (0.9124, 0.2092, 0.5191)

SG: C2/c, No. 15
E_tot in eV/atom: -4.663

(4)
Entry from Alexandria: a relaxed DyBePt3 crystal (PBE).

Unit cell a=5.3855 b=5.7327 c=5.9352 alpha=90.00 beta=115.75 gamma=90.00
Element x y z (fractional)
Dy (0.0200, 0.2500, 0.2945)
Dy (0.9800, 0.7500, 0.7055)
Be (0.3417, 0.7500, 0.4534)
Be (0.6583, 0.2500, 0.5466)
Pt (0.0897, 0.2500, 0.8254)
Pt (0.4824, 0.5055, 0.2281)
Pt (0.4824, 0.9945, 0.2281)
Pt (0.5176, 0.0055, 0.7719)
Pt (0.5176, 0.4945, 0.7719)
Pt (0.9103, 0.7500, 0.1746)

Energy relative to the lowest polymorph listed for this composition in meV/atom: 0
SG: P2_1/m, No. 11

(5)
Entry from Alexandria: a relaxed Tl2TePb crystal (PBE).

Unit cell a=4.9654 b=4.9784 c=10.1697 alpha=90.00 beta=90.00 gamma=90.00
Element x y z (fractional)
Tl (0.0000, 0.0000, 0.2474)
Tl (0.0000, 0.0000, 0.7526)
Tl (0.5000, 0.5000, 0.2474)
Tl (0.5000, 0.5000, 0.7526)
Te (0.0000, 0.5000, 0.0000)
Te (0.5000, 0.0000, 0.0000)
Pb (0.0000, 0.5000, 0.5000)
Pb (0.5000, 0.0000, 0.5000)

Energy relative to the lowest polymorph listed for this composition in meV/atom: 146
SG: Cmmm, No. 65
Formation energy without anion corrections in eV/atom: 0.00

(6)
Entry from Alexandria: a relaxed Pr4CuSe2S crystal (PBE).

Unit cell a=5.9839 b=5.9839 c=11.8690 alpha=90.00 beta=90.00 gamma=90.00
Element x y z (fractional)
Pr (0.0000, 0.0000, 0.2451)
Pr (0.0000, 0.0000, 0.7549)
Pr (0.0000, 0.5000, 0.9996)
Pr (0.0000, 0.5000, 0.5004)
Pr (0.5000, 0.0000, 0.0004)
Pr (0.5000, 0.0000, 0.4996)
Pr (0.5000, 0.5000, 0.2549)
Pr (0.5000, 0.5000, 0.7451)
Cu (0.0000, 0.5000, 0.7500)
Cu (0.5000, 0.0000, 0.2500)
Se (0.0000, 0.0000, 0.5000)
Se (0.0000, 0.5000, 0.2500)
Se (0.5000, 0.0000, 0.7500)
Se (0.5000, 0.5000, 0.0000)
S (0.0000, 0.0000, 0.0000)
S (0.5000, 0.5000, 0.5000)

SG: I-4m2, No. 119
Formation energy without anion corrections in eV/atom: -1.45

(7)
Entry from Alexandria: a relaxed CoSi2SnCl crystal (PBE).

Unit cell a=4.2807 b=4.2807 c=5.8019 alpha=90.00 beta=90.00 gamma=90.00
Element x y z (fractional)
Co (0.0000, 0.0000, 0.0000)
Si (0.0000, 0.5000, 0.0000)
Si (0.5000, 0.0000, 0.0000)
Sn (0.5000, 0.5000, 0.5000)
Cl (0.0000, 0.0000, 0.5000)

SG: P4/mmm, No. 123
Formation energy without anion corrections in eV/atom: 0.24

(8)
Entry from Alexandria: a relaxed La3TbGe2 crystal (PBE).

Unit cell a=4.5135 b=4.6880 c=16.7676 alpha=90.00 beta=90.00 gamma=90.00
Element x y z (fractional)
La (0.0000, 0.0000, 0.0000)
La (0.0000, 0.5000, 0.3181)
La (0.0000, 0.5000, 0.6819)
La (0.5000, 0.0000, 0.1819)
La (0.5000, 0.0000, 0.8181)
La (0.5000, 0.5000, 0.5000)
Tb (0.0000, 0.0000, 0.5000)
Tb (0.5000, 0.5000, 0.0000)
Ge (0.0000, 0.5000, 0.1311)
Ge (0.0000, 0.5000, 0.8689)
Ge (0.5000, 0.0000, 0.3689)
Ge (0.5000, 0.0000, 0.6311)

SG: Immm, No. 71
E_tot in eV/atom: -5.395

(9)
Entry from Alexandria: a relaxed KLaRe2 crystal (PBE).

Unit cell a=2.8860 b=2.8860 c=34.8112 alpha=90.00 beta=90.00 gamma=120.00
Element x y z (fractional)
K (0.0000, 0.0000, 0.0000)
K (0.3333, 0.6667, 0.6667)
K (0.6667, 0.3333, 0.3333)
La (0.0000, 0.0000, 0.5000)
La (0.3333, 0.6667, 0.1667)
La (0.6667, 0.3333, 0.8333)
Re (0.0000, 0.0000, 0.2475)
Re (0.0000, 0.0000, 0.7525)
Re (0.3333, 0.6667, 0.4191)
Re (0.3333, 0.6667, 0.9142)
Re (0.6667, 0.3333, 0.0858)
Re (0.6667, 0.3333, 0.5809)

Energy relative to the lowest polymorph listed for this composition in meV/atom: 749
SG: R-3m, No. 166

(10)
Entry from Alexandria: a relaxed GaTePCl2 crystal (PBE).

Unit cell a=5.6117 b=5.6117 c=4.9543 alpha=90.00 beta=90.00 gamma=90.00
Element x y z (fractional)
Ga (0.0000, 0.0000, 0.0000)
Te (0.5000, 0.5000, 0.5000)
P (0.5000, 0.5000, 0.0000)
Cl (0.0000, 0.5000, 0.5000)
Cl (0.5000, 0.0000, 0.5000)

Energy relative to the lowest polymorph listed for this composition in meV/atom: 90
SG: P4/mmm, No. 123
Formation energy without anion corrections in eV/atom: 0.15

(11)
Entry from Alexandria: a relaxed TmPu3Fe crystal (PBE).

Unit cell a=5.1143 b=5.1143 c=5.1143 alpha=90.00 beta=90.00 gamma=90.00
Element x y z (fractional)
Tm (0.0000, 0.0000, 0.0000)
Pu (0.0000, 0.5000, 0.5000)
Pu (0.5000, 0.0000, 0.5000)
Pu (0.5000, 0.5000, 0.0000)
Fe (0.5000, 0.5000, 0.5000)

SG: Pm-3m, No. 221
E_tot in eV/atom: -10.957

(12)
Entry from Alexandria: a relaxed AcMgZnAg3 crystal (PBE).

Unit cell a=7.5538 b=7.5538 c=6.0034 alpha=90.00 beta=90.00 gamma=124.53
Element x y z (fractional)
Ac (0.2077, 0.7923, 0.7500)
Ac (0.7923, 0.2077, 0.2500)
Mg (0.4536, 0.5464, 0.7500)
Mg (0.5464, 0.4536, 0.2500)
Zn (0.1364, 0.8636, 0.2500)
Zn (0.8636, 0.1364, 0.7500)
Ag (0.1977, 0.1977, 0.0000)
Ag (0.1977, 0.1977, 0.5000)
Ag (0.3400, 0.6600, 0.2500)
Ag (0.6600, 0.3400, 0.7500)
Ag (0.8023, 0.8023, 0.0000)
Ag (0.8023, 0.8023, 0.5000)

SG: Cmcm, No. 63
E_tot in eV/atom: -2.671

(13)
Entry from Alexandria: a relaxed CdFePt2 crystal (PBE).

Unit cell a=5.7978 b=7.6523 c=2.8672 alpha=90.00 beta=90.26 gamma=90.00
Element x y z (fractional)
Cd (0.0000, 0.0000, 0.0000)
Cd (0.5000, 0.5000, 0.0000)
Fe (0.0000, 0.5000, 0.0000)
Fe (0.5000, 0.0000, 0.0000)
Pt (0.2500, 0.2500, 0.5000)
Pt (0.2500, 0.7500, 0.5000)
Pt (0.7500, 0.2500, 0.5000)
Pt (0.7500, 0.7500, 0.5000)

SG: C2/m, No. 12
E_tot in eV/atom: -5.520

(14)
Entry from Alexandria: a relaxed Rb3TiZn crystal (PBE).

Unit cell a=7.1512 b=7.1512 c=7.1512 alpha=90.00 beta=90.00 gamma=90.00
Element x y z (fractional)
Rb (0.0000, 0.0000, 0.5000)
Rb (0.0000, 0.5000, 0.0000)
Rb (0.5000, 0.0000, 0.0000)
Ti (0.0000, 0.0000, 0.0000)
Zn (0.5000, 0.5000, 0.5000)

SG: Pm-3m, No. 221
E_tot in eV/atom: -1.431

(15)
Entry from Alexandria: a relaxed UCoNi2 crystal (PBE).

Unit cell a=4.1098 b=4.1098 c=4.7228 alpha=90.00 beta=90.00 gamma=120.00
Element x y z (fractional)
U (0.0000, 0.0000, 0.0000)
Co (0.6667, 0.3333, 0.5000)
Ni (0.0000, 0.0000, 0.5000)
Ni (0.3333, 0.6667, 0.5000)

Energy relative to the lowest polymorph listed for this composition in meV/atom: 540
SG: P-6m2, No. 187

(16)
Entry from Alexandria: a relaxed DyNp5As6 crystal (PBE).

Unit cell a=7.1152 b=7.1152 c=7.1195 alpha=99.59 beta=99.59 gamma=120.03
Element x y z (fractional)
Dy (0.0000, 0.0000, 0.0000)
Np (0.1657, 0.8343, 0.5000)
Np (0.3332, 0.6668, 0.0000)
Np (0.5000, 0.5000, 0.5000)
Np (0.6668, 0.3332, 0.0000)
Np (0.8343, 0.1657, 0.5000)
As (0.0835, 0.4185, 0.2503)
As (0.2516, 0.2516, 0.7497)
As (0.4185, 0.0835, 0.2503)
As (0.5815, 0.9165, 0.7497)
As (0.7484, 0.7484, 0.2503)
As (0.9165, 0.5815, 0.7497)

SG: C2/m, No. 12
E_tot in eV/atom: -8.926

(17)
Entry from Alexandria: a relaxed BeTl5 crystal (PBE).

Unit cell a=6.4307 b=6.4307 c=6.4307 alpha=60.00 beta=60.00 gamma=60.00
Element x y z (fractional)
Be (0.0000, 0.0000, 0.0000)
Tl (0.3749, 0.3749, 0.3749)
Tl (0.3749, 0.3749, 0.8754)
Tl (0.3749, 0.8754, 0.3749)
Tl (0.7500, 0.7500, 0.7500)
Tl (0.8754, 0.3749, 0.3749)

Energy relative to the lowest polymorph listed for this composition in meV/atom: 294
SG: F-43m, No. 216

(18)
Entry from Alexandria: a relaxed Rb4Tl4Ga crystal (PBE).

Unit cell a=10.7565 b=10.7565 c=10.7565 alpha=144.35 beta=144.35 gamma=51.30
Element x y z (fractional)
Rb (0.1101, 0.1101, 0.5307)
Rb (0.4206, 0.8899, 0.0000)
Rb (0.5794, 0.5794, 0.4693)
Rb (0.8899, 0.4206, 0.0000)
Tl (0.1600, 0.7403, 0.0000)
Tl (0.2597, 0.2597, 0.4198)
Tl (0.7403, 0.1600, 0.0000)
Tl (0.8400, 0.8400, 0.5802)
Ga (0.5000, 0.5000, 0.0000)

SG: I-42m, No. 121
E_tot in eV/atom: -1.820

(19)
Entry from Alexandria: a relaxed NaSiGe3 crystal (PBE).

Unit cell a=4.9227 b=4.9227 c=4.9227 alpha=90.00 beta=90.00 gamma=90.00
Element x y z (fractional)
Na (0.0000, 0.0000, 0.0000)
Si (0.5000, 0.5000, 0.5000)
Ge (0.0000, 0.5000, 0.5000)
Ge (0.5000, 0.0000, 0.5000)
Ge (0.5000, 0.5000, 0.0000)

Energy relative to the lowest polymorph listed for this composition in meV/atom: 228
SG: Pm-3m, No. 221
Formation energy without anion corrections in eV/atom: 0.44

(20)
Entry from Alexandria: a relaxed CoHg2Br crystal (PBE).

Unit cell a=4.0096 b=4.0096 c=11.8314 alpha=90.00 beta=90.00 gamma=90.00
Element x y z (fractional)
Co (0.0000, 0.0000, 0.0000)
Co (0.5000, 0.5000, 0.5000)
Hg (0.0000, 0.5000, 0.2500)
Hg (0.0000, 0.5000, 0.7500)
Hg (0.5000, 0.0000, 0.2500)
Hg (0.5000, 0.0000, 0.7500)
Br (0.0000, 0.0000, 0.5000)
Br (0.5000, 0.5000, 0.0000)

Energy relative to the lowest polymorph listed for this composition in meV/atom: 370
SG: I4/mmm, No. 139
Formation energy without anion corrections in eV/atom: 0.46

Number 1: total magnetization 0.000 μB/atom. Number 2: total magnetization 0.000 μB/atom. Number 3: total magnetization 0.000 μB/atom. Number 4: total magnetization 0.000 μB/atom. Number 5: total magnetization 0.000 μB/atom. Number 6: total magnetization 0.000 μB/atom. Number 7: total magnetization 0.022 μB/atom. Number 8: total magnetization 0.083 μB/atom. Number 9: total magnetization 0.000 μB/atom. Number 10: total magnetization 0.000 μB/atom. Number 11: total magnetization 3.357 μB/atom. Number 12: total magnetization 0.000 μB/atom. Number 13: total magnetization 0.884 μB/atom. Number 14: total magnetization 0.965 μB/atom. Number 15: total magnetization 0.287 μB/atom. Number 16: total magnetization 1.610 μB/atom. Number 17: total magnetization 0.000 μB/atom. Number 18: total magnetization 0.000 μB/atom. Number 19: total magnetization 0.000 μB/atom. Number 20: total magnetization 0.504 μB/atom.